{"formula": "HoZr2Pd6", "functional": "GGA-PBE", "state": "relaxed", "mass_density_g_cm3": 9.6, "energy_ev_per_cell": -58.34, "dos_ef_per_ev_fu": 4.8, "space_group": "C2/m", "lattice": [[7.351, -3.596, 0.000], [7.351, 3.596, 0.000], [-0.736, 0.000, 3.228]], "species": ["Ho", "Zr", "Zr", "Pd", "Pd", "Pd", "Pd", "Pd", "Pd"], "fractional_positions": [[0.000, 0.000, 0.000], [0.359, 0.359, 0.859], [0.641, 0.641, 0.141], [0.015, 0.629, 0.321], [0.316, 0.684, 0.500], [0.371, 0.985, 0.679], [0.629, 0.015, 0.321], [0.684, 0.316, 0.500], [0.985, 0.371, 0.679]]}

---

{"formula": "KCeGaBr6", "functional": "GGA-PBE", "state": "relaxed", "e_form_raw_ev_per_atom": -1.40, "mass_density_g_cm3": 3.4, "energy_ev_per_cell": -65.48, "space_group": "P4_2nm", "lattice": [[7.257, 0.000, 0.000], [0.000, 7.257, 0.000], [0.000, 0.000, 13.614]], "species": ["K", "K", "Ce", "Ce", "Ga", "Ga", "Br", "Br", "Br", "Br", "Br", "Br", "Br", "Br", "Br", "Br", "Br", "Br"], "fractional_positions": [[0.000, 0.000, 0.000], [0.500, 0.500, 0.500], [0.000, 0.000, 0.663], [0.500, 0.500, 0.163], [0.000, 0.000, 0.335], [0.500, 0.500, 0.835], [0.179, 0.179, 0.505], [0.197, 0.197, 0.806], [0.227, 0.227, 0.172], [0.273, 0.727, 0.672], [0.303, 0.697, 0.306], [0.321, 0.679, 0.005], [0.679, 0.321, 0.005], [0.697, 0.303, 0.306], [0.727, 0.273, 0.672], [0.773, 0.773, 0.172], [0.803, 0.803, 0.806], [0.821, 0.821, 0.505]]}

---

{"formula": "RbMg2F", "functional": "GGA-PBE", "state": "relaxed", "e_form_raw_ev_per_atom": -0.26, "e_above_lowest_polymorph_ev_per_atom": 0.5704, "mass_density_g_cm3": 1.9, "energy_ev_per_cell": -7.08, "dos_ef_per_ev_fu": 0.6, "space_group": "Fm-3m", "lattice": [[0.000, 4.037, 4.037], [4.037, 0.000, 4.037], [4.037, 4.037, 0.000]], "species": ["Rb", "Mg", "Mg", "F"], "fractional_positions": [[0.000, 0.000, 0.000], [0.250, 0.250, 0.250], [0.750, 0.750, 0.750], [0.500, 0.500, 0.500]]}

---

{"formula": "ScSbIr2", "functional": "GGA-PBE", "state": "relaxed", "e_form_raw_ev_per_atom": -0.18, "mass_density_g_cm3": 12.7, "energy_ev_per_cell": -28.88, "dos_ef_per_ev_fu": 1.7, "space_group": "R-3m", "lattice": [[1.548, 0.894, 8.670], [-1.548, 0.894, 8.670], [0.000, -1.787, 8.670]], "species": ["Sc", "Sb", "Ir", "Ir"], "fractional_positions": [[0.000, 0.000, 0.000], [0.500, 0.500, 0.500], [0.252, 0.252, 0.252], [0.748, 0.748, 0.748]]}

---

{"formula": "LiMg2Cd", "functional": "GGA-PBE", "state": "relaxed", "mass_density_g_cm3": 3.4, "energy_ev_per_cell": -6.45, "dos_ef_per_ev_fu": 1.5, "space_group": "P4/mmm", "lattice": [[3.496, 0.000, 0.000], [0.000, 3.496, 0.000], [0.000, 0.000, 6.704]], "species": ["Li", "Mg", "Mg", "Cd"], "fractional_positions": [[0.000, 0.000, 0.000], [0.500, 0.500, 0.239], [0.500, 0.500, 0.761], [0.000, 0.000, 0.500]]}

---

{"formula": "ThCuO3", "functional": "GGA-PBE", "state": "relaxed", "e_form_raw_ev_per_atom": -2.05, "mass_density_g_cm3": 9.9, "energy_ev_per_cell": -36.63, "dos_ef_per_ev_fu": 2.0, "space_group": "Pm-3m", "lattice": [[3.868, 0.000, 0.000], [0.000, 3.868, 0.000], [0.000, 0.000, 3.868]], "species": ["Th", "Cu", "O", "O", "O"], "fractional_positions": [[0.000, 0.000, 0.000], [0.500, 0.500, 0.500], [0.000, 0.500, 0.500], [0.500, 0.000, 0.500], [0.500, 0.500, 0.000]]}

---

{"formula": "CaZr2BIr", "functional": "GGA-PBE", "state": "relaxed", "e_above_lowest_polymorph_ev_per_atom": 0.8328, "mass_density_g_cm3": 5.2, "energy_ev_per_cell": -29.96, "dos_ef_per_ev_fu": 7.2, "space_group": "P4/mmm", "lattice": [[5.005, 0.000, 0.000], [0.000, 5.005, 0.000], [0.000, 0.000, 5.426]], "species": ["Ca", "Zr", "Zr", "B", "Ir"], "fractional_positions": [[0.000, 0.000, 0.000], [0.000, 0.500, 0.500], [0.500, 0.000, 0.500], [0.500, 0.500, 0.000], [0.000, 0.000, 0.500]]}

---

{"formula": "YTlAu2", "functional": "GGA-PBE", "state": "relaxed", "mass_density_g_cm3": 12.9, "energy_ev_per_cell": -17.18, "dos_ef_per_ev_fu": 1.4, "space_group": "I-4m2", "lattice": [[-2.301, 2.301, 4.189], [2.301, -2.301, 4.189], [2.301, 2.301, -4.189]], "species": ["Y", "Tl", "Au", "Au"], "fractional_positions": [[0.000, 0.000, 0.000], [0.750, 0.250, 0.500], [0.250, 0.750, 0.500], [0.500, 0.500, 0.000]]}

---

{"formula": "HfZn2GeC", "functional": "GGA-PBE", "state": "relaxed", "mass_density_g_cm3": 4.5, "energy_ev_per_cell": -15.84, "dos_ef_per_ev_fu": 3.2, "space_group": "P4/mmm", "lattice": [[5.310, 0.000, 0.000], [0.000, 5.310, 0.000], [0.000, 0.000, 5.176]], "species": ["Hf", "Zn", "Zn", "Ge", "C"], "fractional_positions": [[0.000, 0.000, 0.000], [0.000, 0.500, 0.000], [0.500, 0.000, 0.000], [0.000, 0.000, 0.500], [0.500, 0.500, 0.500]]}

---

{"formula": "Mo2PbCl", "functional": "GGA-PBE", "state": "relaxed", "e_form_raw_ev_per_atom": 0.88, "e_above_lowest_polymorph_ev_per_atom": 0.8161, "mass_density_g_cm3": 9.2, "energy_ev_per_cell": -23.69, "dos_ef_per_ev_fu": 4.2, "space_group": "C2/m", "lattice": [[2.758, -5.098, 0.000], [2.758, 5.098, 0.000], [-1.884, 0.000, 2.776]], "species": ["Mo", "Mo", "Pb", "Cl"], "fractional_positions": [[0.000, 0.500, 0.000], [0.500, 0.000, 0.000], [0.000, 0.000, 0.500], [0.500, 0.500, 0.500]]}

---

{"formula": "YBeP2", "functional": "GGA-PBE", "state": "relaxed", "mass_density_g_cm3": 3.4, "energy_ev_per_cell": -22.29, "dos_ef_per_ev_fu": 1.9, "space_group": "P4mm", "lattice": [[3.686, 0.000, 0.000], [0.000, 3.686, 0.000], [0.000, 0.000, 5.783]], "species": ["Y", "Be", "P", "P"], "fractional_positions": [[0.000, 0.000, 0.000], [0.500, 0.500, 0.502], [0.000, 0.000, 0.477], [0.500, 0.500, 0.869]]}